1.
CaAcGaSi: relaxed, PBE.

The space group is Amm2 (No. 38) and the conventional cell measures 4.162, 4.630 and 11.528 Å, with angles of 90.00, 90.00 and 90.00 degrees. The asymmetric unit holds Ca at (0.000, 0.000, 0.000), Ac at (0.500, 0.000, 0.277), Ga at (0.500, 0.000, 0.564) and Si at (0.000, 0.000, 0.700).

The value obtained for the energy above the most stable polymorph in this dataset is 0.000 eV per atom. The uncorrected formation energy is -551 meV per atom. Its density of states at the Fermi level is 2.14 states/eV/f.u.

2.
Y3ScCu: relaxed, PBE.

The space group is Pm-3m (No. 221) and the conventional cell measures 5.422, 5.422 and 5.422 Å, with angles of 90.00, 90.00 and 90.00 degrees. The asymmetric unit holds Y at (0.000, 0.000, 0.500), Sc at (0.000, 0.000, 0.000) and Cu at (0.500, 0.500, 0.500).

Its formation energy is 0.908 eV/atom. The value obtained for the energy above the most stable polymorph in this dataset is 0.698 eV per atom. Its density of states at the Fermi level is 3.57 states/eV/f.u.

3.
Y2AsW: relaxed, PBE.

The space group is Amm2 (No. 38) and the conventional cell measures 4.261, 4.009 and 10.835 Å, with angles of 90.00, 90.00 and 90.00 degrees. The asymmetric unit holds Y at (0.000, 0.000, 0.000), Y at (0.500, 0.000, 0.287), As at (0.500, 0.000, 0.577) and W at (0.000, 0.000, 0.717).

Its formation energy is -0.257 eV/atom. Its density of states at the Fermi level is 4.46 states/eV/f.u.

4.
TbTl2Sn: relaxed, PBE.

The space group is P4/mmm (No. 123) and the conventional cell measures 4.627, 4.627 and 5.058 Å, with angles of 90.00, 90.00 and 90.00 degrees. The asymmetric unit holds Tb at (0.000, 0.000, 0.000), Tl at (0.000, 0.500, 0.500) and Sn at (0.500, 0.500, 0.000).

Its formation energy is -0.314 eV/atom. The value obtained for the energy above the most stable polymorph in this dataset is 0.000 eV per atom. Its density of states at the Fermi level is 1.86 states/eV/f.u.